# Pd2W2N | Alexandria | PBE-GGA | relaxed
# Formation energy (no corrections): 0.017 eV per atom
data_Pd2W2N
_chemical_formula_sum 'Pd4 W4 N2'
_cell_length_a 5.5175
_cell_length_b 5.5175
_cell_length_c 4.7895
_cell_angle_alpha 90.00
_cell_angle_beta 90.00
_cell_angle_gamma 90.00
_symmetry_space_group_name_H-M 'P 4/m b m'
_symmetry_Int_Tables_number 127
_symmetry_space_group_name_Hall '-P 4 2ab'
loop_
_atom_site_label
_atom_site_type_symbol
_atom_site_fract_x
_atom_site_fract_y
_atom_site_fract_z
Pd1 Pd 0.1714 0.3286 0.0000
W1 W 0.1747 0.6747 0.5000
N1 N 0.0000 0.0000 0.5000

---

# Nd2P4PdRh3 | Alexandria | PBE-GGA | relaxed
# ΔH_f (0 K): -103.0 kJ/mol of atoms
data_Nd2P4PdRh3
_chemical_formula_sum 'Nd2 P4 Pd1 Rh3'
_cell_length_a 4.2236
_cell_length_b 4.2236
_cell_length_c 9.5135
_cell_angle_alpha 90.00
_cell_angle_beta 90.00
_cell_angle_gamma 90.00
_symmetry_space_group_name_H-M 'P -4 m 2'
_symmetry_Int_Tables_number 115
_symmetry_space_group_name_Hall 'P -4 -2'
loop_
_atom_site_label
_atom_site_type_symbol
_atom_site_fract_x
_atom_site_fract_y
_atom_site_fract_z
Nd1 Nd 0.0000 0.5000 0.2421
P1 P 0.0000 0.0000 0.0000
P2 P 0.0000 0.5000 0.6392
P3 P 0.5000 0.5000 0.0000
Pd1 Pd 0.0000 0.0000 0.5000
Rh1 Rh 0.0000 0.5000 0.8900
Rh2 Rh 0.5000 0.5000 0.5000

---

# CoReNi2 | Alexandria | PBE-GGA | relaxed
# ΔH_f (0 K): 0.7 kJ/mol of atoms
data_CoReNi2
_chemical_formula_sum 'Co2 Re2 Ni4'
_cell_length_a 3.5902
_cell_length_b 3.5902
_cell_length_c 7.2192
_cell_angle_alpha 90.00
_cell_angle_beta 90.00
_cell_angle_gamma 90.00
_symmetry_space_group_name_H-M 'I -4 m 2'
_symmetry_Int_Tables_number 119
_symmetry_space_group_name_Hall 'I -4 -2'
loop_
_atom_site_label
_atom_site_type_symbol
_atom_site_fract_x
_atom_site_fract_y
_atom_site_fract_z
Co1 Co 0.0000 0.0000 0.0000
Re1 Re 0.0000 0.5000 0.2500
Ni1 Ni 0.0000 0.0000 0.5000
Ni2 Ni 0.0000 0.5000 0.7500

---

# NdDyIr | Alexandria | PBE-GGA | relaxed
# ΔH_f (0 K): -58.3 kJ/mol of atoms
data_NdDyIr
_chemical_formula_sum 'Nd2 Dy2 Ir2'
_cell_length_a 4.8716
_cell_length_b 4.9024
_cell_length_c 6.8995
_cell_angle_alpha 89.53
_cell_angle_beta 89.80
_cell_angle_gamma 90.00
_symmetry_space_group_name_H-M 'P -1'
_symmetry_Int_Tables_number 2
_symmetry_space_group_name_Hall '-P 1'
loop_
_atom_site_label
_atom_site_type_symbol
_atom_site_fract_x
_atom_site_fract_y
_atom_site_fract_z
Nd1 Nd 0.0026 0.4937 0.2500
Dy1 Dy 0.4977 0.0057 0.7500
Ir1 Ir 0.0000 0.0000 0.0000
Ir2 Ir 0.5000 0.5000 0.5000

---

# KCaTl4 | Alexandria | PBE-GGA | relaxed
# ΔH_f (0 K): -10.0 kJ/mol of atoms
data_KCaTl4
_chemical_formula_sum 'K4 Ca4 Tl16'
_cell_length_a 9.2649
_cell_length_b 9.2649
_cell_length_c 9.2649
_cell_angle_alpha 90.00
_cell_angle_beta 90.00
_cell_angle_gamma 90.00
_symmetry_space_group_name_H-M 'F -4 3 m'
_symmetry_Int_Tables_number 216
_symmetry_space_group_name_Hall 'F -4 2 3'
loop_
_atom_site_label
_atom_site_type_symbol
_atom_site_fract_x
_atom_site_fract_y
_atom_site_fract_z
K1 K 0.0000 0.0000 0.0000
Ca1 Ca 0.2500 0.2500 0.2500
Tl1 Tl 0.1247 0.1247 0.6247

---

# SrTaMnTe2 | Alexandria | PBE-GGA | relaxed
# Formation energy (no corrections): 0.622 eV per atom
data_SrTaMnTe2
_chemical_formula_sum 'Sr1 Ta1 Mn1 Te2'
_cell_length_a 5.3840
_cell_length_b 5.3840
_cell_length_c 6.1757
_cell_angle_alpha 90.00
_cell_angle_beta 90.00
_cell_angle_gamma 90.00
_symmetry_space_group_name_H-M 'P 4/m m m'
_symmetry_Int_Tables_number 123
_symmetry_space_group_name_Hall '-P 4 2'
loop_
_atom_site_label
_atom_site_type_symbol
_atom_site_fract_x
_atom_site_fract_y
_atom_site_fract_z
Sr1 Sr 0.0000 0.0000 0.0000
Ta1 Ta 0.0000 0.0000 0.5000
Mn1 Mn 0.5000 0.5000 0.0000
Te1 Te 0.0000 0.5000 0.5000

---

# SrCr2P | Alexandria | PBE-GGA | relaxed
# ΔH_f (0 K): 26.9 kJ/mol of atoms
data_SrCr2P
_chemical_formula_sum 'Sr4 Cr8 P4'
_cell_length_a 4.5343
_cell_length_b 4.5343
_cell_length_c 16.8705
_cell_angle_alpha 90.00
_cell_angle_beta 90.00
_cell_angle_gamma 90.00
_symmetry_space_group_name_H-M 'I 41/a m d'
_symmetry_Int_Tables_number 141
loop_
_symmetry_equiv_pos_as_xyz
'x,y,z'
'-x,-y,-z'
'-y+1/4,x+3/4,z+1/4'
'y+1/4,-x+3/4,-z+1/4'
'-x+1/2,-y,z+1/2'
'x+1/2,y,-z+1/2'
'y+1/4,-x+1/4,z+3/4'
'-y+1/4,x+1/4,-z+3/4'
'x,-y,-z'
'-x,y,z'
'-y+1/4,-x+1/4,-z+3/4'
'y+1/4,x+1/4,z+3/4'
'-x+1/2,y,-z+1/2'
'x+1/2,-y,z+1/2'
'y+1/4,x+3/4,-z+1/4'
'-y+1/4,-x+3/4,z+1/4'
'x+1/2,y+1/2,z+1/2'
'-x+1/2,-y+1/2,-z+1/2'
'-y+3/4,x+1/4,z+3/4'
'y+3/4,-x+1/4,-z+3/4'
'-x,-y+1/2,z'
'x,y+1/2,-z'
'y+3/4,-x+3/4,z+1/4'
'-y+3/4,x+3/4,-z+1/4'
'x+1/2,-y+1/2,-z+1/2'
'-x+1/2,y+1/2,z+1/2'
'-y+3/4,-x+3/4,-z+1/4'
'y+3/4,x+3/4,z+1/4'
'-x,y+1/2,-z'
'x,-y+1/2,z'
'y+3/4,x+1/4,-z+3/4'
'-y+3/4,-x+1/4,z+3/4'
loop_
_atom_site_label
_atom_site_type_symbol
_atom_site_fract_x
_atom_site_fract_y
_atom_site_fract_z
Sr1 Sr 0.0000 0.2500 0.3750
Cr1 Cr 0.0000 0.0000 0.0000
P1 P 0.0000 0.2500 0.8750

---

# SrSiAs3 | Alexandria | PBE-GGA | relaxed
# Formation energy (no corrections): -0.067 eV per atom
data_SrSiAs3
_chemical_formula_sum 'Sr1 Si1 As3'
_cell_length_a 4.9285
_cell_length_b 4.9285
_cell_length_c 4.9285
_cell_angle_alpha 90.00
_cell_angle_beta 90.00
_cell_angle_gamma 90.00
_symmetry_space_group_name_H-M 'P m -3 m'
_symmetry_Int_Tables_number 221
_symmetry_space_group_name_Hall '-P 4 2 3'
loop_
_atom_site_label
_atom_site_type_symbol
_atom_site_fract_x
_atom_site_fract_y
_atom_site_fract_z
Sr1 Sr 0.0000 0.0000 0.0000
Si1 Si 0.5000 0.5000 0.5000
As1 As 0.0000 0.5000 0.5000

---

# Li3Mg4Hg2 | Alexandria | PBE-GGA | relaxed
# ΔH_f (0 K): -23.2 kJ/mol of atoms
data_Li3Mg4Hg2
_chemical_formula_sum 'Li6 Mg8 Hg4'
_cell_length_a 8.3140
_cell_length_b 4.7918
_cell_length_c 8.8618
_cell_angle_alpha 90.00
_cell_angle_beta 90.16
_cell_angle_gamma 90.00
_symmetry_space_group_name_H-M 'C 1 2/m 1'
_symmetry_Int_Tables_number 12
_symmetry_space_group_name_Hall '-C 2y'
loop_
_atom_site_label
_atom_site_type_symbol
_atom_site_fract_x
_atom_site_fract_y
_atom_site_fract_z
Li1 Li 0.0000 0.0000 0.0000
Li2 Li 0.1666 0.5000 0.5436
Mg1 Mg 0.0006 0.0000 0.3260
Mg2 Mg 0.1665 0.5000 0.8842
Hg1 Hg 0.1671 0.5000 0.2223

---

# Nb3AsPd | Alexandria | PBE-GGA | relaxed
# ΔH_f (0 K): 68.3 kJ/mol of atoms
data_Nb3AsPd
_chemical_formula_sum 'Nb3 As1 Pd1'
_cell_length_a 4.7234
_cell_length_b 4.7234
_cell_length_c 4.7234
_cell_angle_alpha 90.00
_cell_angle_beta 90.00
_cell_angle_gamma 90.00
_symmetry_space_group_name_H-M 'P m -3 m'
_symmetry_Int_Tables_number 221
_symmetry_space_group_name_Hall '-P 4 2 3'
loop_
_atom_site_label
_atom_site_type_symbol
_atom_site_fract_x
_atom_site_fract_y
_atom_site_fract_z
Nb1 Nb 0.0000 0.0000 0.5000
As1 As 0.0000 0.0000 0.0000
Pd1 Pd 0.5000 0.5000 0.5000

---

# TaHgPt2 | Alexandria | PBE-GGA | relaxed
# ΔH_f (0 K): -15.5 kJ/mol of atoms
data_TaHgPt2
_chemical_formula_sum 'Ta2 Hg2 Pt4'
_cell_length_a 9.2726
_cell_length_b 2.8852
_cell_length_c 5.2773
_cell_angle_alpha 90.00
_cell_angle_beta 98.94
_cell_angle_gamma 90.00
_symmetry_space_group_name_H-M 'C 1 2/m 1'
_symmetry_Int_Tables_number 12
_symmetry_space_group_name_Hall '-C 2y'
loop_
_atom_site_label
_atom_site_type_symbol
_atom_site_fract_x
_atom_site_fract_y
_atom_site_fract_z
Ta1 Ta 0.0000 0.0000 0.0000
Hg1 Hg 0.0000 0.5000 0.5000
Pt1 Pt 0.2433 0.5000 0.2299

---

# NaLa3Ir | Alexandria | PBE-GGA | relaxed
# ΔH_f (0 K): -27.8 kJ/mol of atoms
data_NaLa3Ir
_chemical_formula_sum 'Na4 La12 Ir4'
_cell_length_a 19.0680
_cell_length_b 4.1232
_cell_length_c 9.9114
_cell_angle_alpha 90.00
_cell_angle_beta 102.56
_cell_angle_gamma 90.00
_symmetry_space_group_name_H-M 'C 1 2/m 1'
_symmetry_Int_Tables_number 12
_symmetry_space_group_name_Hall '-C 2y'
loop_
_atom_site_label
_atom_site_type_symbol
_atom_site_fract_x
_atom_site_fract_y
_atom_site_fract_z
Na1 Na 0.0412 0.0000 0.2417
La1 La 0.0940 0.5000 0.5873
La2 La 0.1629 0.0000 0.9508
La3 La 0.2221 0.5000 0.3317
Ir1 Ir 0.2169 0.5000 0.8007